(1)
Below is an optimized crystal structure of PmPuRu, with properties calculated at the PBE level.

Results
Formation energy from the elements = -7 kJ/mol of formula units
Crystal system = triclinic
Fermi-level density of states = 15.265 states/eV per cell
Excess energy over the best structure of this formula in the dataset = 0.42 eV per formula unit
Total energy = -9.478 eV/atom

Cell lengths 3.3287, 6.8208, 6.8820 Å; angles 103.98, 90.01, 90.07 degrees
Closest atoms and distances in Å follow each position.
Space group P-1 (No. 2)
Symmetry-distinct sites (fractional):
Pm: 0.0002 0.0640 0.2605  4 Ru 3.01-3.02, 2 Pm 3.33
Pu: 0.9998 0.4392 0.7452  4 Ru 2.86-2.87
Ru: 0.5001 0.2662 0.9991  4 Pu 2.86-2.87, 4 Pm 3.01-3.02, 1 Ru 3.19

***

(2)
Below is an optimized crystal structure of PmPuRu, with properties calculated at the PBE level.

Results
Formation energy from the elements = -21 kJ/mol of formula units
Crystal system = tetragonal
Fermi-level density of states = 12.004 states/eV per cell
Excess energy over the best structure of this formula in the dataset = 0.27 eV per formula unit
Total energy = -9.525 eV/atom

Cell lengths 3.5760, 3.5760, 11.0959 Å; angles 90.00, 90.00, 90.00 degrees
Closest atoms and distances in Å follow each position.
Space group I4mm (No. 107)
Symmetry-distinct sites (fractional):
Pm: 0.0000 0.0000 0.0000  5 Pu 3.18-3.46, 5 Ru 3.28-3.46
Pu: 0.0000 0.0000 0.2867  4 Ru 2.75
Ru: 0.0000 0.0000 0.6883  4 Pu 2.75

***

(3)
Below is an optimized crystal structure of PmPuRu2, with properties calculated at the PBE level.

Results
Formation energy from the elements = -82 kJ/mol of formula units
Crystal system = trigonal
Fermi-level density of states = 10.903 states/eV per cell
Excess energy over the best structure of this formula in the dataset = 0.00 eV per formula unit
Total energy = -9.620 eV/atom

Cell lengths 4.3922, 4.3922, 15.7130 Å; angles 90.00, 90.00, 120.00 degrees
Closest atoms and distances in Å follow each position.
Space group R-3m (No. 166, hexagonal axes)
Symmetry-distinct sites (fractional):
Pm: 0.0000 0.0000 0.0000  8 Ru 3.19-3.30
Pu: 0.0000 0.0000 0.5000  6 Ru 2.63
Ru: 0.0000 0.0000 0.2101  3 Pu 2.63, 3 Ru 2.88

***

(4)
Below is an optimized crystal structure of PmPuRu2, with properties calculated at the PBE level.

Results
Formation energy from the elements = -62 kJ/mol of formula units
Crystal system = tetragonal
Fermi-level density of states = 6.619 states/eV per cell
Excess energy over the best structure of this formula in the dataset = 0.20 eV per formula unit
Total energy = -9.570 eV/atom

Cell lengths 3.3701, 3.3701, 7.1401 Å; angles 90.00, 90.00, 90.00 degrees
Closest atoms and distances in Å follow each position.
Space group P4/mmm (No. 123)
Symmetry-distinct sites (fractional):
Pm: 0.0000 0.0000 0.0000  8 Ru 3.12, 4 Pm 3.37
Pu: 0.0000 0.0000 0.5000  8 Ru 2.84
Ru: 0.5000 0.5000 0.2829  4 Pu 2.84, 1 Ru 3.10, 4 Pm 3.12

***

(5)
Below is an optimized crystal structure of PmPuRu2, with properties calculated at the PBE level.

Results
Formation energy from the elements = -47 kJ/mol of formula units
Crystal system = cubic
Fermi-level density of states = 20.587 states/eV per cell
Excess energy over the best structure of this formula in the dataset = 0.36 eV per formula unit
Total energy = -9.531 eV/atom

Cell lengths 6.8608, 6.8608, 6.8608 Å; angles 90.00, 90.00, 90.00 degrees
Closest atoms and distances in Å follow each position.
Space group Fm-3m (No. 225)
Symmetry-distinct sites (fractional):
Pm: 0.0000 0.0000 0.0000  8 Ru 2.97
Pu: 0.0000 0.0000 0.5000  8 Ru 2.97
Ru: 0.2500 0.2500 0.2500  4 Pm 2.97, 4 Pu 2.97

***

(6)
Below is an optimized crystal structure of PmPuRu, with properties calculated at the PBE level.

Results
Formation energy from the elements = 8 kJ/mol of formula units
Crystal system = cubic
Fermi-level density of states = 43.381 states/eV per cell
Excess energy over the best structure of this formula in the dataset = 0.57 eV per formula unit
Total energy = -9.425 eV/atom

Cell lengths 6.7985, 6.7985, 6.7985 Å; angles 90.00, 90.00, 90.00 degrees
Closest atoms and distances in Å follow each position.
Space group F-43m (No. 216)
Symmetry-distinct sites (fractional):
Pm: 0.0000 0.0000 0.0000  4 Ru 2.94
Pu: 0.0000 0.0000 0.5000  4 Ru 2.94
Ru: 0.2500 0.2500 0.7500  4 Pm 2.94, 4 Pu 2.94

***

(7)
Below is an optimized crystal structure of Pm3PuRu3, with properties calculated at the PBE level.

Results
Formation energy from the elements = -95 kJ/mol of formula units
Crystal system = monoclinic
Fermi-level density of states = 38.666 states/eV per cell
Total energy = -8.200 eV/atom

Cell lengths 10.7416, 9.2181, 6.7399 Å; angles 90.00, 98.70, 90.00 degrees
Closest atoms and distances in Å follow each position.
Space group C2/m (No. 12)
Symmetry-distinct sites (fractional):
Pm: 0.0000 0.1915 0.0000  4 Ru 2.86-3.10
Pm: 0.0000 0.3000 0.5000  4 Ru 2.86-3.11
Pm: 0.1925 0.5000 0.0152  5 Ru 2.96-3.10
Pu: 0.2018 0.0000 0.4299  3 Ru 2.49-2.57
Ru: 0.0672 0.0000 0.7003  1 Pu 2.49
Ru: 0.2457 0.2562 0.7235  1 Pu 2.57, 1 Pm 2.86

***

(8)
Below is an optimized crystal structure of PmPu2Ru2, with properties calculated at the PBE level.

Results
Formation energy from the elements = 6 kJ/mol of formula units
Crystal system = monoclinic
Fermi-level density of states = 47.291 states/eV per cell
Excess energy over the best structure of this formula in the dataset = 0.38 eV per formula unit
Total energy = -10.381 eV/atom

Cell lengths 10.0012, 10.6728, 5.5194 Å; angles 90.00, 123.20, 90.00 degrees
Closest atoms and distances in Å follow each position.
Space group C2/c (No. 15)
Symmetry-distinct sites (fractional):
Pm: 0.0000 0.1390 0.2500  3 Ru 2.78-3.07
Pu: 0.1962 0.3947 0.9494  2 Ru 2.52-2.64
Ru: 0.0000 0.1734 0.7500  4 Pu 2.64-2.88, 2 Pm 2.78
Ru: 0.0000 0.4268 0.2500  2 Pu 2.52

***

(9)
Below is an optimized crystal structure of PmPu2Ru2, with properties calculated at the PBE level.

Results
Formation energy from the elements = -30 kJ/mol of formula units
Crystal system = tetragonal
Fermi-level density of states = 38.073 states/eV per cell
Excess energy over the best structure of this formula in the dataset = 0.00 eV per formula unit
Total energy = -10.456 eV/atom

Cell lengths 4.4185, 4.4185, 23.2078 Å; angles 90.00, 90.00, 90.00 degrees
Closest atoms and distances in Å follow each position.
Space group I4/mmm (No. 139)
Symmetry-distinct sites (fractional):
Pm: 0.0000 0.0000 0.1338  4 Pu 3.34, 8 Ru 3.38-3.49
Pu: 0.0000 0.0000 0.3154  5 Ru 2.46-2.68
Pu: 0.0000 0.5000 0.0000  4 Ru 2.86, 4 Pu 3.12
Ru: 0.0000 0.0000 0.4215  1 Pu 2.46
Ru: 0.0000 0.5000 0.2500  4 Pu 2.68

***

(10)
Below is an optimized crystal structure of Pm2Pu3Ru2, with properties calculated at the PBE level.

Results
Formation energy from the elements = -84 kJ/mol of formula units
Crystal system = monoclinic
Fermi-level density of states = 38.029 states/eV per cell
Total energy = -10.274 eV/atom

Cell lengths 11.3913, 3.9181, 8.4823 Å; angles 90.00, 112.15, 90.00 degrees
Closest atoms and distances in Å follow each position.
Space group C2/m (No. 12)
Symmetry-distinct sites (fractional):
Pm: 0.1612 0.0000 0.3065  3 Ru 3.10-3.30
Pu: 0.0000 0.5000 0.5000  4 Ru 2.73
Pu: 0.1215 0.5000 0.9364  2 Ru 2.74
Ru: 0.1349 0.0000 0.7173  4 Pu 2.73-2.74

***

(11)
Below is an optimized crystal structure of PmPuRu2, with properties calculated at the PBE level.

Results
Formation energy from the elements = -24 kJ/mol of formula units
Crystal system = monoclinic
Fermi-level density of states = 17.100 states/eV per cell
Excess energy over the best structure of this formula in the dataset = 0.60 eV per formula unit
Total energy = -9.471 eV/atom

Cell lengths 10.0485, 4.8779, 6.5372 Å; angles 90.00, 95.95, 90.00 degrees
Closest atoms and distances in Å follow each position.
Space group C2/m (No. 12)
Symmetry-distinct sites (fractional):
Pm: 0.0847 0.0000 0.2858  9 Ru 3.03-3.29, 2 Pu 3.27
Pu: 0.1088 0.5000 0.9579  1 Pu 2.31, 2 Ru 2.34-2.35
Ru: 0.1155 0.5000 0.6012  1 Pu 2.34, 1 Ru 2.55
Ru: 0.2318 0.0000 0.7526  1 Pu 2.35

***

(12)
Below is an optimized crystal structure of Pm2PuRu3, with properties calculated at the PBE level.

Results
Formation energy from the elements = 70 kJ/mol of formula units
Crystal system = orthorhombic
Fermi-level density of states = 19.454 states/eV per cell
Excess energy over the best structure of this formula in the dataset = 2.44 eV per formula unit
Total energy = -8.489 eV/atom

Cell lengths 4.4155, 5.6063, 10.8254 Å; angles 90.00, 90.00, 90.00 degrees
Closest atoms and distances in Å follow each position.
Space group Immm (No. 71)
Symmetry-distinct sites (fractional):
Pm: 0.0000 0.0000 0.1721  6 Ru 2.84-3.08
Pu: 0.0000 0.0000 0.5000  6 Ru 2.62-2.80
Ru: 0.0000 0.5000 0.1299  2 Pu 2.62, 1 Ru 2.81, 2 Pm 2.84
Ru: 0.0000 0.5000 0.5000  2 Pu 2.80, 4 Pm 2.89

***

| no. | magnetization (μB per formula unit) | ρ (g cm⁻³) |
| --- | --- | --- |
| 1 | 5.33 | 10.73 |
| 2 | 4.92 | 11.47 |
| 3 | 3.10 | 11.22 |
| 4 | 3.90 | 12.10 |
| 5 | 4.07 | 12.16 |
| 6 | 5.20 | 10.36 |
| 7 | 3.80 | 9.89 |
| 8 | 10.10 | 11.25 |
| 9 | 9.70 | 12.24 |
| 10 | 16.45 | 11.59 |
| 11 | 0.00 | 12.32 |
| 12 | 3.11 | 10.38 |